Density functional theory data (GGA-PBE) for TlHg2Pt after structural relaxation.

Cell: 3.151 3.151 9.162 Å, 90.00 90.00 90.00°
Fractional positions:
Hg: 0.000 0.000 0.457
Hg: 0.000 0.000 0.043
Tl: 0.500 0.500 0.750
Pt: 0.500 0.500 0.250

Output
- Energy above the most stable polymorph in this dataset: 0.40 eV/f.u.
- Calculated density: 14.6 g/cm3
- E_form: 0.10 eV/atom